[1]
The following is a DFT calculation (GGA-PBE) of a relaxed Li2Cd7In2 crystal.

The value obtained for the size of the total moment is 0.00 μB/f.u. The calculation puts the formation energy at -62.1 meV/atom.

The structure belongs to space group C2/m (No. 12); the cell edges are 10.1491, 10.2912 and 5.3945 Å and the angles 90.00°, 117.11° and 90.00°. The distinct sites, in fractional coordinates, are Li at (0.0000, 0.2442, 0.0000), Cd at (0.0000, 0.0000, 0.5000), Cd at (0.1197, 0.5000, 0.2796), Cd at (0.1662, 0.2488, 0.6669) and In at (0.1870, 0.0000, 0.0971).



[2]
The following is a DFT calculation (GGA-PBE) of a relaxed BTe3Rh crystal.

The value obtained for the size of the total moment is 0.00 μB/f.u. The energy above the most stable polymorph in this dataset comes out at 0 meV per atom. The raw formation energy comes out at 0.9339 eV/atom.

The structure belongs to space group Pm-3m (No. 221); the cell edges are 4.7334, 4.7334 and 4.7334 Å and the angles 90.00°, 90.00° and 90.00°. The distinct sites, in fractional coordinates, are B at (0.0000, 0.0000, 0.0000), Te at (0.0000, 0.0000, 0.5000) and Rh at (0.5000, 0.5000, 0.5000).



[3]
The following is a DFT calculation (GGA-PBE) of a relaxed LaSI crystal.

The value obtained for the size of the total moment is 0.00 μB/f.u. The raw formation energy comes out at -1.5798 eV/atom.

The structure belongs to space group C2/m (No. 12); the cell edges are 15.2517, 3.9045 and 7.9465 Å and the angles 90.00°, 111.40° and 90.00°. The distinct sites, in fractional coordinates, are La at (0.1154, 0.0000, 0.0740), S at (0.0213, 0.5000, 0.2098) and I at (0.2026, 0.0000, 0.7398).



[4]
The following is a DFT calculation (GGA-PBE) of a relaxed PrTcGe2 crystal.

The value obtained for the size of the total moment is 0.00 μB/f.u. The energy above the most stable polymorph in this dataset comes out at 274 meV per atom. The calculation puts the formation energy at -250.6 meV/atom.

The structure belongs to space group I-4m2 (No. 119); the cell edges are 4.5762, 4.5762 and 8.7980 Å and the angles 90.00°, 90.00° and 90.00°. The distinct sites, in fractional coordinates, are Pr at (0.0000, 0.0000, 0.0000), Tc at (0.0000, 0.5000, 0.7500) and Ge at (0.0000, 0.0000, 0.3547).